[1]
VASP calculation (PBE) on an optimized crystal structure of Pr9Mg2In.

Lattice parameters (Å, degrees): 5.0571 5.0571 15.1795 90.00 90.00 90.00
Positions (direct):
Pr: 0.5000 0.5000 0.6659
Pr: 0.5000 0.5000 0.3341
Pr: 0.5000 0.0000 0.8357
Pr: 0.5000 0.5000 0.0000
Pr: 0.5000 0.0000 0.1643
Pr: 0.0000 0.5000 0.8357
Pr: 0.5000 0.0000 0.5000
Pr: 0.0000 0.5000 0.5000
Pr: 0.0000 0.5000 0.1643
In: 0.0000 0.0000 0.0000
Mg: 0.0000 0.0000 0.6672
Mg: 0.0000 0.0000 0.3328

Computed properties:
V: 388.20 Å³ per cell
Symmetry: P4/mmm (123)
Uncorrected energy: -4.177 eV per atom
Energy of formation from the pure elements: -98 meV per atom
DOS at the Fermi energy: 20.5 states/eV/cell
Mass density: 6.1 g/cm3

[2]
VASP calculation (PBE) on an optimized crystal structure of BSb2I.

Lattice parameters (Å, degrees): 5.1625 5.1625 5.1625 60.00 60.00 60.00
Positions (direct):
B: 0.0000 0.0000 0.0000
Sb: 0.2500 0.2500 0.2500
Sb: 0.7500 0.7500 0.7500
I: 0.5000 0.5000 0.5000

Computed properties:
V: 97.29 Å³ per cell
Symmetry: Fm-3m (225)
Uncorrected energy: -2.811 eV per atom
Offset from the most stable computed form: 69.69 kJ per mole of atoms
DOS at the Fermi energy: 2.3 states/eV/cell
Mass density: 6.5 g/cm3
Formation energy (no corrections): 126.1 kJ/mol of atoms

[3]
VASP calculation (PBE) on an optimized crystal structure of Tb6Pm8Tm.

Lattice parameters (Å, degrees): 9.1383 9.1383 8.7266 58.43 58.43 60.00
Positions (direct):
Pm: 0.5777 0.5777 0.2670
Pm: 0.2501 0.2818 0.5802
Pm: 0.7182 0.1121 0.4198
Pm: 0.8879 0.2501 0.5802
Pm: 0.2818 0.8879 0.5802
Pm: 0.4223 0.4223 0.7330
Pm: 0.1121 0.7499 0.4198
Pm: 0.7499 0.7182 0.4198
Tb: 0.2428 0.5401 0.1189
Tb: 0.7572 0.4599 0.8811
Tb: 0.9018 0.7572 0.8811
Tb: 0.0982 0.2428 0.1189
Tb: 0.5401 0.0982 0.1189
Tb: 0.4599 0.9018 0.8811
Tm: 0.0000 0.0000 0.0000

Computed properties:
V: 502.71 Å³ per cell
Symmetry: R-3 (148)
Uncorrected energy: -4.564 eV per atom
Energy of formation from the pure elements: 120 meV per atom
Offset from the most stable computed form: 0.00 kJ per mole of atoms
DOS at the Fermi energy: 22.6 states/eV/cell
Mass density: 7.5 g/cm3

[4]
VASP calculation (PBE) on an optimized crystal structure of CeSm2Er4Tm.

Lattice parameters (Å, degrees): 9.4014 9.4014 11.6686 128.36 128.36 88.59
Last column: magnetic moment on the atom in μB.
Positions (direct):
Sm: 0.0000 0.0000 0.5000  -0.11
Sm: 0.5000 0.0000 0.0000  -0.06
Sm: 0.5000 0.0000 0.5000  -0.06
Sm: 0.5000 0.5000 0.0000  -0.11
Ce: 0.0000 0.5000 0.0000  -0.79
Ce: 0.0000 0.5000 0.5000  -0.79
Tm: 0.5000 0.5000 0.5000  -0.10
Tm: 0.0000 0.0000 0.0000  -0.10
Er: 0.2385 0.7462 0.9923  -0.16
Er: 0.7538 0.2615 0.5077  -0.16
Er: 0.7615 0.2538 0.0077  -0.16
Er: 0.2422 0.2574 0.4967  -0.20
Er: 0.7574 0.7422 0.9967  -0.20
Er: 0.2426 0.2578 0.0033  -0.20
Er: 0.7578 0.7426 0.5033  -0.20
Er: 0.2462 0.7385 0.4923  -0.16

Computed properties:
V: 513.75 Å³ per cell
Symmetry: Imma (74)
Uncorrected energy: -4.325 eV per atom
Energy of formation from the pure elements: 437 meV per atom
DOS at the Fermi energy: 39.9 states/eV/cell
Mass density: 8.3 g/cm3

[5]
VASP calculation (PBE) on an optimized crystal structure of KOsRh2.

Lattice parameters (Å, degrees): 2.8304 2.8304 8.9505 90.00 90.00 90.00
Positions (direct):
Os: 0.5000 0.5000 0.7500
Rh: 0.0000 0.0000 0.9441
Rh: 0.0000 0.0000 0.5559
K: 0.5000 0.5000 0.2500

Computed properties:
V: 71.71 Å³ per cell
Symmetry: P4/mmm (123)
Uncorrected energy: -6.318 eV per atom
Energy of formation from the pure elements: 439 meV per atom
Offset from the most stable computed form: 0.00 kJ per mole of atoms
DOS at the Fermi energy: 3.1 states/eV/cell
Mass density: 10.1 g/cm3

[6]
VASP calculation (PBE) on an optimized crystal structure of KMo2Cl.

Lattice parameters (Å, degrees): 3.1689 3.1689 9.5248 90.00 90.00 115.94
Positions (direct):
Cl: 0.0000 0.0000 0.4791
Mo: 0.0000 0.0000 0.0573
Mo: 0.5000 0.5000 0.2404
K: 0.5000 0.5000 0.7232

Computed properties:
V: 86.02 Å³ per cell
Symmetry: Cmm2 (35)
Uncorrected energy: -5.902 eV per atom
Offset from the most stable computed form: 16.60 kJ per mole of atoms
DOS at the Fermi energy: 2.8 states/eV/cell
Mass density: 5.1 g/cm3
Formation energy (no corrections): 24.1 kJ/mol of atoms